Entry 1:
# MgZn2Ga, relaxed, DFT GGA-PBE
# * D(E_F): 0.24 states/eV per atom
# * VASP energy: -7.44 eV/cell
data_MgZn2Ga
_chemical_formula_sum 'Mg1 Zn2 Ga1'
_cell_length_a 4.079
_cell_length_b 4.079
_cell_length_c 4.066
_cell_angle_alpha 90.00
_cell_angle_beta 90.00
_cell_angle_gamma 90.00
_space_group_name_H-M_alt 'P 4/m m m'
_space_group_IT_number 123
_space_group_name_Hall '-P 4 2'
loop_
_atom_site_label
_atom_site_fract_x
_atom_site_fract_y
_atom_site_fract_z
Mg1 0.000 0.000 0.000
Zn1 0.000 0.500 0.500
Ga1 0.500 0.500 0.000

***

Entry 2:
# Mg8ZnGa6, relaxed, DFT GGA-PBE
# * D(E_F): 0.48 states/eV per atom
# * VASP energy: -97.94 eV/cell
data_Mg8ZnGa6
_chemical_formula_sum 'Mg24 Zn3 Ga18'
_cell_length_a 7.8510
_cell_length_b 7.8510
_cell_length_c 17.9204
_cell_angle_alpha 90.00
_cell_angle_beta 90.00
_cell_angle_gamma 120.00
_space_group_name_H-M_alt 'R -3'
_space_group_IT_number 148
_space_group_name_Hall '-R 3'
loop_
_atom_site_label
_atom_site_fract_x
_atom_site_fract_y
_atom_site_fract_z
Mg1 0.0000 0.0000 0.1659
Mg2 0.0070 0.6563 0.3841
Zn1 0.0000 0.0000 0.5000
Ga1 0.0033 0.6857 0.5570

***

Entry 3:
# Mg8ZnGa5, relaxed, DFT GGA-PBE
# * D(E_F): 0.44 states/eV per atom
# * VASP energy: -59.59 eV/cell
data_Mg8ZnGa5
_chemical_formula_sum 'Mg16 Zn2 Ga10'
_cell_length_a 8.125
_cell_length_b 8.125
_cell_length_c 8.780
_cell_angle_alpha 90.00
_cell_angle_beta 90.00
_cell_angle_gamma 90.00
_space_group_name_H-M_alt 'I -4'
_space_group_IT_number 82
_space_group_name_Hall 'I -4'
loop_
_atom_site_label
_atom_site_fract_x
_atom_site_fract_y
_atom_site_fract_z
Mg1 0.070 0.319 0.412
Mg2 0.077 0.177 0.752
Zn1 0.000 0.000 0.500
Ga1 0.000 0.500 0.750
Ga2 0.104 0.218 0.072

***

Entry 4:
# Mg3Zn2Ga5, relaxed, DFT GGA-PBE
# * D(E_F): 0.26 states/eV per atom
# * VASP energy: -91.27 eV/cell
data_Mg3Zn2Ga5
_chemical_formula_sum 'Mg12 Zn8 Ga20'
_cell_length_a 11.235
_cell_length_b 11.777
_cell_length_c 5.894
_cell_angle_alpha 90.00
_cell_angle_beta 90.00
_cell_angle_gamma 90.00
_space_group_name_H-M_alt 'I b a m'
_space_group_IT_number 72
_space_group_name_Hall '-I 2 2c'
loop_
_atom_site_label
_atom_site_fract_x
_atom_site_fract_y
_atom_site_fract_z
Mg1 0.000 0.000 0.250
Mg2 0.120 0.232 0.000
Zn1 0.137 0.150 0.500
Ga1 0.000 0.500 0.250
Ga2 0.126 0.356 0.500
Ga3 0.249 0.000 0.250

***

Entry 5:
# Mg3ZnGa4, relaxed, DFT GGA-PBE
# * D(E_F): 0.29 states/eV per atom
# * VASP energy: -18.75 eV/cell
data_Mg3ZnGa4
_chemical_formula_sum 'Mg3 Zn1 Ga4'
_cell_length_a 3.402
_cell_length_b 4.372
_cell_length_c 10.620
_cell_angle_alpha 78.33
_cell_angle_beta 85.98
_cell_angle_gamma 89.75
_space_group_name_H-M_alt 'P -1'
_space_group_IT_number 2
_space_group_name_Hall '-P 1'
loop_
_atom_site_label
_atom_site_fract_x
_atom_site_fract_y
_atom_site_fract_z
Mg1 0.000 0.000 0.000
Mg2 0.417 0.856 0.279
Zn1 0.500 0.500 0.000
Ga1 0.064 0.605 0.803
Ga2 0.208 0.725 0.550

***

Entry 6:
# Mg3Zn2Ga3, relaxed, DFT GGA-PBE
# * D(E_F): 0.32 states/eV per atom
# * VASP energy: -69.17 eV/cell
data_Mg3Zn2Ga3
_chemical_formula_sum 'Mg12 Zn8 Ga12'
_cell_length_a 4.020
_cell_length_b 9.775
_cell_length_c 15.385
_cell_angle_alpha 90.00
_cell_angle_beta 90.00
_cell_angle_gamma 90.00
_space_group_name_H-M_alt 'C m c m'
_space_group_IT_number 63
_space_group_name_Hall '-C 2c 2'
loop_
_atom_site_label
_atom_site_fract_x
_atom_site_fract_y
_atom_site_fract_z
Mg1 0.000 0.066 0.118
Mg2 0.000 0.349 0.250
Zn1 0.000 0.220 0.616
Ga1 0.000 0.370 0.030
Ga2 0.000 0.370 0.750

***

Entry 7:
# MgZn2Ga4, relaxed, DFT GGA-PBE
# * D(E_F): 0.29 states/eV per atom
# * VASP energy: -32.65 eV/cell
# * energy relative to the lowest polymorph listed for this composition: 0 meV/atom
data_MgZn2Ga4
_chemical_formula_sum 'Mg2 Zn4 Ga8'
_cell_length_a 8.956
_cell_length_b 6.877
_cell_length_c 4.844
_cell_angle_alpha 90.00
_cell_angle_beta 120.10
_cell_angle_gamma 90.00
_space_group_name_H-M_alt 'C 1 2/m 1'
_space_group_IT_number 12
_space_group_name_Hall '-C 2y'
loop_
_atom_site_label
_atom_site_fract_x
_atom_site_fract_y
_atom_site_fract_z
Mg1 0.000 0.000 0.000
Zn1 0.037 0.500 0.282
Ga1 0.190 0.195 0.702

***

Entry 8:
# MgZn2Ga5, relaxed, DFT GGA-PBE
# * D(E_F): 0.24 states/eV per atom
# * VASP energy: -38.31 eV/cell
data_MgZn2Ga5
_chemical_formula_sum 'Mg2 Zn4 Ga10'
_cell_length_a 3.992
_cell_length_b 7.582
_cell_length_c 9.991
_cell_angle_alpha 90.00
_cell_angle_beta 90.00
_cell_angle_gamma 90.00
_space_group_name_H-M_alt 'I m m m'
_space_group_IT_number 71
_space_group_name_Hall '-I 2 2'
loop_
_atom_site_label
_atom_site_fract_x
_atom_site_fract_y
_atom_site_fract_z
Mg1 0.000 0.000 0.000
Zn1 0.000 0.500 0.269
Ga1 0.000 0.192 0.363
Ga2 0.000 0.500 0.000

***

Entry 9:
# MgZn2Ga4, relaxed, DFT GGA-PBE
# * D(E_F): 0.51 states/eV per atom
# * VASP energy: -27.19 eV/cell
# * energy relative to the lowest polymorph listed for this composition: 390 meV/atom
data_MgZn2Ga4
_chemical_formula_sum 'Mg2 Zn4 Ga8'
_cell_length_a 5.170
_cell_length_b 5.170
_cell_length_c 12.818
_cell_angle_alpha 90.00
_cell_angle_beta 90.00
_cell_angle_gamma 90.00
_space_group_name_H-M_alt 'I 4/m m m'
_space_group_IT_number 139
_space_group_name_Hall '-I 4 2'
loop_
_atom_site_label
_atom_site_fract_x
_atom_site_fract_y
_atom_site_fract_z
Mg1 0.000 0.000 0.000
Zn1 0.000 0.000 0.400
Ga1 0.000 0.000 0.206
Ga2 0.000 0.500 0.000

***

Entry 10:
# Mg2ZnGa8, relaxed, DFT GGA-PBE
# * D(E_F): 0.43 states/eV per atom
# * VASP energy: -29.12 eV/cell
data_Mg2ZnGa8
_chemical_formula_sum 'Mg2 Zn1 Ga8'
_cell_length_a 4.210
_cell_length_b 4.210
_cell_length_c 11.780
_cell_angle_alpha 90.00
_cell_angle_beta 90.00
_cell_angle_gamma 90.00
_space_group_name_H-M_alt 'P 4/m m m'
_space_group_IT_number 123
_space_group_name_Hall '-P 4 2'
loop_
_atom_site_label
_atom_site_fract_x
_atom_site_fract_y
_atom_site_fract_z
Mg1 0.000 0.000 0.173
Zn1 0.000 0.000 0.500
Ga1 0.000 0.500 0.000
Ga2 0.000 0.500 0.355
Ga3 0.500 0.500 0.182

***

Entry 11:
# Mg3Zn2Ga2, relaxed, DFT GGA-PBE
# * D(E_F): 0.32 states/eV per atom
# * VASP energy: -28.35 eV/cell
data_Mg3Zn2Ga2
_chemical_formula_sum 'Mg6 Zn4 Ga4'
_cell_length_a 3.395
_cell_length_b 4.310
_cell_length_c 17.884
_cell_angle_alpha 90.00
_cell_angle_beta 90.00
_cell_angle_gamma 90.00
_space_group_name_H-M_alt 'I m m m'
_space_group_IT_number 71
_space_group_name_Hall '-I 2 2'
loop_
_atom_site_label
_atom_site_fract_x
_atom_site_fract_y
_atom_site_fract_z
Mg1 0.000 0.000 0.000
Mg2 0.000 0.500 0.199
Zn1 0.000 0.000 0.432
Ga1 0.000 0.500 0.355

***

Entry 12:
# Mg2Zn3Ga, relaxed, DFT GGA-PBE
# * D(E_F): 0.34 states/eV per atom
# * VASP energy: -84.85 eV/cell
# * energy relative to the lowest polymorph listed for this composition: 5 meV/atom
data_Mg2Zn3Ga
_chemical_formula_sum 'Mg16 Zn24 Ga8'
_cell_length_a 6.272
_cell_length_b 8.693
_cell_length_c 15.494
_cell_angle_alpha 90.00
_cell_angle_beta 90.00
_cell_angle_gamma 90.00
_space_group_name_H-M_alt 'F m m m'
_space_group_IT_number 69
_space_group_name_Hall '-F 2 2'
loop_
_atom_site_label
_atom_site_fract_x
_atom_site_fract_y
_atom_site_fract_z
Mg1 0.248 0.000 0.000
Mg2 0.250 0.250 0.250
Zn1 0.000 0.000 0.166
Zn2 0.000 0.249 0.082
Ga1 0.000 0.000 0.333